The following is a PBE calculation of a relaxed structure of CdSb2IO, from Alexandria.

```
5
Lattice="5.555 0.000 0.000 0.000 5.555 0.000 0.000 0.000 5.659" Properties=species:S:1:pos:R:3 pbc="T T T"
Cd 0.000 0.000 0.000
Sb 0.000 2.777 0.000
Sb 2.777 0.000 0.000
I 0.000 0.000 2.830
O 2.777 2.777 2.830
```

Values from the calculation:
E_form (uncorrected)   1118 meV per atom
Raw total energy   -2.02 eV/atom
Energy above the lowest structure with this stoichiometry   5.511 eV/f.u.